Record 1
Compound: RbAl3W
Source: Alexandria via LeMat-Bulk
Functional: PBE
Structure: optimized geometry

```
RbAl3W
1.0
5.078 0.000 0.000
0.000 5.078 0.000
0.000 0.000 5.078
Rb W Al
1 1 3
direct
0.500 0.500 0.500
0.000 0.000 0.000
0.000 0.500 0.000
0.000 0.000 0.500
0.500 0.000 0.000
```

Space group: Pm-3m (221)
Formation energy from the elements (eV per atom): 0.428
Distance to the lowest polymorph of the same formula (meV/atom): 0
Total moment (Bohr magnetons per cell): 0.000

***

Record 2
Compound: BAs2RhBr
Source: Alexandria via LeMat-Bulk
Functional: PBE
Structure: optimized geometry

```
BAs2RhBr
1.0
4.311 0.000 0.000
0.000 4.311 0.000
0.000 0.000 4.558
As B Rh Br
2 1 1 1
direct
0.000 0.500 0.000
0.500 0.000 0.000
0.000 0.000 0.000
0.500 0.500 0.500
0.000 0.000 0.500
```

Space group: P4/mmm (123)
Distance to the lowest polymorph of the same formula (meV/atom): 0
ΔE_f (raw) (eV/atom): 0.950
Total moment (Bohr magnetons per cell): 0.000

***

Record 3
Compound: In2TeIr
Source: Alexandria via LeMat-Bulk
Functional: PBE
Structure: optimized geometry

```
In2TeIr
1.0
7.059 0.025 0.031
6.330 3.126 0.031
1.553 0.365 4.429
In Ir Te
2 1 1
direct
0.067 0.067 0.933
0.433 0.433 0.567
0.750 0.750 0.750
0.250 0.250 0.250
```

Space group: Immm (71)
ΔE_f (raw) (eV/atom): 0.127
Total moment (Bohr magnetons per cell): 0.000